Entry 1:
A relaxed Gd2OsRh crystal. Source: Alexandria via LeMat-Bulk, functional PBE.

Lattice parameters (Å, degrees): 3.4462 3.4462 6.8920 90.00 90.00 90.00
Last column: nearest neighbours and their distance in Å.
Sites, in units of the cell vectors:
1 Os 0.5000 0.5000 0.0000  8 Gd 2.97
2 Gd 0.0000 0.0000 0.2461  4 Os 2.97, 4 Rh 3.00
3 Gd 0.0000 0.0000 0.7539  4 Os 2.97, 4 Rh 3.00
4 Rh 0.5000 0.5000 0.5000  8 Gd 3.00

Space group: P4/mmm (123)
Formation enthalpy at 0 K: -0.42 eV/atom
Size of the total moment: 3.52 μB per atom


Entry 2:
A relaxed GdScOsRh crystal. Source: Alexandria via LeMat-Bulk, functional PBE.

Lattice parameters (Å, degrees): 4.7181 4.7181 4.7181 60.00 60.00 60.00
Last column: nearest neighbours and their distance in Å.
Sites, in units of the cell vectors:
1 Sc 0.0000 0.0000 0.0000  4 Os 2.89, 4 Rh 2.89
2 Rh 0.7500 0.7500 0.7500  4 Gd 2.89, 4 Sc 2.89
3 Gd 0.5000 0.5000 0.5000  4 Rh 2.89, 4 Os 2.89
4 Os 0.2500 0.2500 0.2500  4 Gd 2.89, 4 Sc 2.89

Space group: F-43m (216)
Formation enthalpy at 0 K: -0.50 eV/atom
Size of the total moment: 1.78 μB per atom


Entry 3:
A relaxed GdTaOsRh crystal. Source: Alexandria via LeMat-Bulk, functional PBE.

Lattice parameters (Å, degrees): 4.6711 4.6711 4.6711 60.00 60.00 60.00
Last column: nearest neighbours and their distance in Å.
Sites, in units of the cell vectors:
1 Ta 0.5000 0.5000 0.5000  4 Rh 2.86, 4 Os 2.86
2 Gd 0.0000 0.0000 0.0000  4 Os 2.86, 4 Rh 2.86
3 Rh 0.7500 0.7500 0.7500  4 Gd 2.86, 4 Ta 2.86
4 Os 0.2500 0.2500 0.2500  4 Ta 2.86, 4 Gd 2.86

Space group: F-43m (216)
Formation enthalpy at 0 K: -0.27 eV/atom
Size of the total moment: 1.76 μB per atom


Entry 4:
A relaxed TbGdOsRh crystal. Source: Alexandria via LeMat-Bulk, functional PBE.

Lattice parameters (Å, degrees): 4.8640 4.8640 4.8640 60.00 60.00 60.00
Last column: nearest neighbours and their distance in Å.
Sites, in units of the cell vectors:
1 Tb 0.7500 0.7500 0.7500  4 Os 2.98, 4 Rh 2.98
2 Rh 0.5000 0.5000 0.5000  4 Gd 2.98, 4 Tb 2.98
3 Os 0.0000 0.0000 0.0000  4 Gd 2.98, 4 Tb 2.98
4 Gd 0.2500 0.2500 0.2500  4 Os 2.98, 4 Rh 2.98

Space group: F-43m (216)
Formation enthalpy at 0 K: -0.41 eV/atom
Size of the total moment: 1.76 μB per atom


Entry 5:
A relaxed GdTiOsRh crystal. Source: Alexandria via LeMat-Bulk, functional PBE.

Lattice parameters (Å, degrees): 4.6316 4.6316 4.6316 60.00 60.00 60.00
Last column: nearest neighbours and their distance in Å.
Sites, in units of the cell vectors:
1 Rh 0.5000 0.5000 0.5000  4 Gd 2.84, 4 Ti 2.84
2 Gd 0.7500 0.7500 0.7500  4 Os 2.84, 4 Rh 2.84
3 Ti 0.2500 0.2500 0.2500  4 Os 2.84, 4 Rh 2.84
4 Os 0.0000 0.0000 0.0000  4 Gd 2.84, 4 Ti 2.84

Space group: F-43m (216)
Formation enthalpy at 0 K: -0.41 eV/atom
Size of the total moment: 1.76 μB per atom


Entry 6:
A relaxed GdYOsRh crystal. Source: Alexandria via LeMat-Bulk, functional PBE.

Lattice parameters (Å, degrees): 4.8613 4.8613 4.8613 60.00 60.00 60.00
Last column: nearest neighbours and their distance in Å.
Sites, in units of the cell vectors:
1 Gd 0.2500 0.2500 0.2500  4 Os 2.98, 4 Rh 2.98
2 Y 0.7500 0.7500 0.7500  4 Rh 2.98, 4 Os 2.98
3 Rh 0.0000 0.0000 0.0000  4 Gd 2.98, 4 Y 2.98
4 Os 0.5000 0.5000 0.5000  4 Y 2.98, 4 Gd 2.98

Space group: F-43m (216)
Formation enthalpy at 0 K: -0.41 eV/atom
Size of the total moment: 1.76 μB per atom


Entry 7:
A relaxed GdZrOsRh crystal. Source: Alexandria via LeMat-Bulk, functional PBE.

Lattice parameters (Å, degrees): 4.7607 4.7607 4.7607 60.00 60.00 60.00
Last column: nearest neighbours and their distance in Å.
Sites, in units of the cell vectors:
1 Gd 0.7500 0.7500 0.7500  4 Rh 2.92, 4 Os 2.92
2 Zr 0.2500 0.2500 0.2500  4 Os 2.92, 4 Rh 2.92
3 Os 0.0000 0.0000 0.0000  4 Gd 2.92, 4 Zr 2.92
4 Rh 0.5000 0.5000 0.5000  4 Zr 2.92, 4 Gd 2.92

Space group: F-43m (216)
Formation enthalpy at 0 K: -0.51 eV/atom
Size of the total moment: 1.75 μB per atom


Entry 8:
A relaxed GdScOsRu crystal. Source: Alexandria via LeMat-Bulk, functional PBE.

Lattice parameters (Å, degrees): 4.6966 4.6966 4.6966 60.00 60.00 60.00
Last column: nearest neighbours and their distance in Å.
Sites, in units of the cell vectors:
1 Ru 0.2500 0.2500 0.2500  4 Gd 2.88, 4 Sc 2.88
2 Os 0.7500 0.7500 0.7500  4 Gd 2.88, 4 Sc 2.88
3 Sc 0.0000 0.0000 0.0000  4 Ru 2.88, 4 Os 2.88
4 Gd 0.5000 0.5000 0.5000  4 Os 2.88, 4 Ru 2.88

Space group: F-43m (216)
Formation enthalpy at 0 K: -0.24 eV/atom
Size of the total moment: 1.74 μB per atom


Entry 9:
A relaxed GdTmOsRu crystal. Source: Alexandria via LeMat-Bulk, functional PBE.

Lattice parameters (Å, degrees): 4.8007 4.8007 4.8007 60.00 60.00 60.00
Last column: nearest neighbours and their distance in Å.
Sites, in units of the cell vectors:
1 Ru 0.7500 0.7500 0.7500  4 Tm 2.94, 4 Gd 2.94
2 Gd 0.0000 0.0000 0.0000  4 Ru 2.94, 4 Os 2.94
3 Os 0.2500 0.2500 0.2500  4 Tm 2.94, 4 Gd 2.94
4 Tm 0.5000 0.5000 0.5000  4 Ru 2.94, 4 Os 2.94

Space group: F-43m (216)
Formation enthalpy at 0 K: -0.19 eV/atom
Size of the total moment: 1.73 μB per atom


Entry 10:
A relaxed GdYOsRu crystal. Source: Alexandria via LeMat-Bulk, functional PBE.

Lattice parameters (Å, degrees): 4.8405 4.8405 4.8405 60.00 60.00 60.00
Last column: nearest neighbours and their distance in Å.
Sites, in units of the cell vectors:
1 Ru 0.5000 0.5000 0.5000  4 Gd 2.96, 4 Y 2.96
2 Y 0.7500 0.7500 0.7500  4 Os 2.96, 4 Ru 2.96
3 Gd 0.2500 0.2500 0.2500  4 Ru 2.96, 4 Os 2.96
4 Os 0.0000 0.0000 0.0000  4 Y 2.96, 4 Gd 2.96

Space group: F-43m (216)
Formation enthalpy at 0 K: -0.12 eV/atom
Size of the total moment: 1.74 μB per atom


Entry 11:
A relaxed GdScOs crystal. Source: Alexandria via LeMat-Bulk, functional PBE.

Lattice parameters (Å, degrees): 4.6593 4.6593 4.6593 60.00 60.00 60.00
Last column: nearest neighbours and their distance in Å.
Sites, in units of the cell vectors:
1 Sc 0.0000 0.0000 0.0000  4 Os 2.85
2 Os 0.2500 0.2500 0.2500  4 Gd 2.85, 4 Sc 2.85
3 Gd 0.5000 0.5000 0.5000  4 Os 2.85

Space group: F-43m (216)
Formation enthalpy at 0 K: -0.19 eV/atom
Size of the total moment: 2.35 μB per atom
Polymorph energy (0 for the lowest one): 73 meV per atom


Entry 12:
A relaxed GdScOs2 crystal. Source: Alexandria via LeMat-Bulk, functional PBE.

Lattice parameters (Å, degrees): 3.3212 3.3212 6.6879 90.00 90.00 90.00
Last column: nearest neighbours and their distance in Å.
Sites, in units of the cell vectors:
1 Os 0.0000 0.0000 0.2308  4 Sc 2.81, 4 Gd 2.96, 1 Os 3.09
2 Os 0.0000 0.0000 0.7692  4 Sc 2.81, 4 Gd 2.96, 1 Os 3.09
3 Sc 0.5000 0.5000 0.0000  8 Os 2.81
4 Gd 0.5000 0.5000 0.5000  8 Os 2.96

Space group: P4/mmm (123)
Formation enthalpy at 0 K: -0.10 eV/atom
Size of the total moment: 1.65 μB per atom


Entry 13:
A relaxed GdSc3Os crystal. Source: Alexandria via LeMat-Bulk, functional PBE.

Lattice parameters (Å, degrees): 5.0927 5.0927 5.0927 90.00 90.00 90.00
Last column: nearest neighbours and their distance in Å.
Sites, in units of the cell vectors:
1 Gd 0.5000 0.5000 0.5000  12 Sc 3.60
2 Sc 0.5000 0.0000 0.0000  2 Os 2.55
3 Sc 0.0000 0.0000 0.5000  2 Os 2.55
4 Sc 0.0000 0.5000 0.0000  2 Os 2.55
5 Os 0.0000 0.0000 0.0000  6 Sc 2.55

Space group: Pm-3m (221)
Formation enthalpy at 0 K: -0.07 eV/atom
Size of the total moment: 1.52 μB per atom


Entry 14:
A relaxed GdScOs crystal. Source: Alexandria via LeMat-Bulk, functional PBE.

Lattice parameters (Å, degrees): 3.3072 3.3072 6.7225 104.24 104.24 90.00
Last column: nearest neighbours and their distance in Å.
Sites, in units of the cell vectors:
1 Gd 0.0340 0.0340 0.0681  4 Os 2.94, 1 Sc 3.24
2 Sc 0.2908 0.2908 0.5817  4 Os 2.76
3 Os 0.6751 0.6751 0.3503  4 Sc 2.76, 4 Gd 2.94

Space group: I4mm (107)
Formation enthalpy at 0 K: -0.26 eV/atom
Size of the total moment: 2.37 μB per atom
Polymorph energy (0 for the lowest one): 0 meV per atom


Entry 15:
A relaxed TbGdScOs crystal. Source: Alexandria via LeMat-Bulk, functional PBE.

Lattice parameters (Å, degrees): 5.0462 5.0462 5.0462 60.00 60.00 60.00
Last column: nearest neighbours and their distance in Å.
Sites, in units of the cell vectors:
1 Gd 0.7500 0.7500 0.7500  4 Os 3.09, 4 Sc 3.09
2 Sc 0.0000 0.0000 0.0000  4 Gd 3.09, 4 Tb 3.09
3 Os 0.5000 0.5000 0.5000  4 Tb 3.09, 4 Gd 3.09
4 Tb 0.2500 0.2500 0.2500  4 Sc 3.09, 4 Os 3.09

Space group: F-43m (216)
Formation enthalpy at 0 K: 0.04 eV/atom
Size of the total moment: 1.77 μB per atom


Entry 16:
A relaxed GdScTlOs crystal. Source: Alexandria via LeMat-Bulk, functional PBE.

Lattice parameters (Å, degrees): 4.9603 4.9603 4.9603 60.00 60.00 60.00
Last column: nearest neighbours and their distance in Å.
Sites, in units of the cell vectors:
1 Sc 0.0000 0.0000 0.0000  4 Tl 3.04, 4 Os 3.04
2 Os 0.7500 0.7500 0.7500  4 Sc 3.04, 4 Gd 3.04
3 Gd 0.5000 0.5000 0.5000  4 Tl 3.04, 4 Os 3.04
4 Tl 0.2500 0.2500 0.2500  4 Gd 3.04, 4 Sc 3.04

Space group: F-43m (216)
Formation enthalpy at 0 K: -0.13 eV/atom
Size of the total moment: 1.77 μB per atom


Entry 17:
A relaxed GdYScOs crystal. Source: Alexandria via LeMat-Bulk, functional PBE.

Lattice parameters (Å, degrees): 5.0466 5.0466 5.0466 60.00 60.00 60.00
Last column: nearest neighbours and their distance in Å.
Sites, in units of the cell vectors:
1 Y 0.7500 0.7500 0.7500  4 Os 3.09, 4 Sc 3.09
2 Gd 0.2500 0.2500 0.2500  4 Os 3.09, 4 Sc 3.09
3 Sc 0.5000 0.5000 0.5000  4 Gd 3.09, 4 Y 3.09
4 Os 0.0000 0.0000 0.0000  4 Gd 3.09, 4 Y 3.09

Space group: F-43m (216)
Formation enthalpy at 0 K: 0.04 eV/atom
Size of the total moment: 1.77 μB per atom


Entry 18:
A relaxed GdScZnOs crystal. Source: Alexandria via LeMat-Bulk, functional PBE.

Lattice parameters (Å, degrees): 4.7949 4.7949 4.7949 60.00 60.00 60.00
Last column: nearest neighbours and their distance in Å.
Sites, in units of the cell vectors:
1 Sc 0.0000 0.0000 0.0000  4 Zn 2.94, 4 Os 2.94
2 Os 0.7500 0.7500 0.7500  4 Gd 2.94, 4 Sc 2.94
3 Gd 0.5000 0.5000 0.5000  4 Os 2.94, 4 Zn 2.94
4 Zn 0.2500 0.2500 0.2500  4 Gd 2.94, 4 Sc 2.94

Space group: F-43m (216)
Formation enthalpy at 0 K: -0.28 eV/atom
Size of the total moment: 1.77 μB per atom


Entry 19:
A relaxed GdSi2Os2 crystal. Source: Alexandria via LeMat-Bulk, functional PBE.

Lattice parameters (Å, degrees): 5.6951 5.6951 5.6951 136.94 136.94 62.53
Last column: nearest neighbours and their distance in Å.
Sites, in units of the cell vectors:
1 Gd 0.0000 0.0000 0.0000  8 Os 3.21, 8 Si 3.21
2 Os 0.7500 0.2500 0.5000  4 Si 2.40
3 Os 0.2500 0.7500 0.5000  4 Si 2.40
4 Si 0.3713 0.3713 0.0000  4 Os 2.40, 1 Si 2.51
5 Si 0.6288 0.6288 0.0000  4 Os 2.40, 1 Si 2.51

E_tot: -10.19 eV/atom
Space group: I4/mmm (139)
Size of the total moment: 1.41 μB per atom


Entry 20:
A relaxed GdSiOs crystal. Source: Alexandria via LeMat-Bulk, functional PBE.

Lattice parameters (Å, degrees): 4.1115 4.1192 4.1192 120.00 90.00 90.00
Last column: nearest neighbours and their distance in Å.
Sites, in units of the cell vectors:
1 Si 0.1667 0.0000 0.0000  3 Os 2.38
2 Os 0.1667 0.3333 0.6667  3 Si 2.38
3 Gd 0.6666 0.6667 0.3333  6 Os 3.14, 6 Si 3.14

E_tot: -10.74 eV/atom
Space group: P-6m2 (187)
Size of the total moment: 2.34 μB per atom


no.,ρ (g/cm³)
1,12.3
2,11.1
3,14.5
4,12.4
5,11.8
6,11.0
7,11.8
8,11.2
9,13.1
10,11.1
11,9.1
12,13.1
13,6.1
14,9.5
15,10.1
16,11.5
17,8.8
18,9.8
19,11.6
20,10.3